1.
Compound: HfTcTePt2
Source: Alexandria via LeMat-Bulk
Functional: GGA-PBE
Structure: optimized geometry

```
HfTcTePt2
1.0
4.950 0.000 0.000
0.000 5.409 0.000
0.000 0.000 4.950
Te Hf Tc Pt
1 1 1 2
direct
0.000 0.500 0.000
0.000 0.000 0.000
0.500 0.500 0.500
0.000 0.000 0.500
0.500 0.000 0.000
```

## Properties
E (eV/atom): -6.101
Fermi-level density of states (states/eV/cell): 2.646
Raw formation energy (eV per atom): 1.007

2.
Compound: TmHfTcPt
Source: Alexandria via LeMat-Bulk
Functional: GGA-PBE
Structure: optimized geometry

```
TmHfTcPt
1.0
-0.681 2.615 3.869
-0.827 -2.094 4.148
3.283 0.099 3.389
Tm Hf Tc Pt
1 1 1 1
direct
0.000 0.000 0.000
0.500 0.500 0.500
0.250 0.250 0.250
0.750 0.750 0.750
```

## Properties
E (eV/atom): -8.438
Fermi-level density of states (states/eV/cell): 0.854

3.
Compound: YHfTcPt
Source: Alexandria via LeMat-Bulk
Functional: GGA-PBE
Structure: optimized geometry

```
YHfTcPt
1.0
4.758 0.000 0.000
2.379 4.120 0.000
2.379 1.373 3.885
Y Hf Tc Pt
1 1 1 1
direct
0.750 0.750 0.750
0.250 0.250 0.250
0.000 0.000 0.000
0.500 0.500 0.500
```

## Properties
E (eV/atom): -8.845
Fermi-level density of states (states/eV/cell): 1.277

4.
Compound: HfZnTcPt2
Source: Alexandria via LeMat-Bulk
Functional: GGA-PBE
Structure: optimized geometry

```
HfZnTcPt2
1.0
-3.640 -1.040 -2.427
1.046 -4.659 0.428
-2.451 -0.204 3.765
Zn Hf Tc Pt
1 1 1 2
direct
0.000 0.000 0.000
0.000 0.500 0.000
0.500 0.500 0.500
0.000 0.000 0.500
0.500 0.000 0.000
```

## Properties
E (eV/atom): -5.856
Fermi-level density of states (states/eV/cell): 4.439

5.
Compound: Hf2TePt
Source: Alexandria via LeMat-Bulk
Functional: GGA-PBE
Structure: optimized geometry

```
Hf2TePt
1.0
7.582 0.000 0.000
0.000 7.582 0.000
3.791 3.791 3.072
Te Hf Pt
2 4 2
direct
0.500 0.500 0.000
0.250 0.750 0.500
0.650 0.125 0.250
0.100 0.625 0.250
0.375 0.350 0.750
0.875 0.900 0.750
0.000 0.000 0.000
0.750 0.250 0.500
```

## Properties
E (eV/atom): -7.719
Fermi-level density of states (states/eV/cell): 6.861
Raw formation energy (eV per atom): -0.446

6.
Compound: HfTe2Pt
Source: Alexandria via LeMat-Bulk
Functional: GGA-PBE
Structure: optimized geometry

```
HfTe2Pt
1.0
6.219 0.000 0.000
0.000 6.219 0.000
3.110 3.110 6.364
Te Hf Pt
4 2 2
direct
0.643 0.125 0.250
0.107 0.625 0.250
0.375 0.357 0.750
0.875 0.893 0.750
0.500 0.500 0.000
0.250 0.750 0.500
0.000 0.000 0.000
0.750 0.250 0.500
```

## Properties
E (eV/atom): -5.752
Fermi-level density of states (states/eV/cell): 0.570
Raw formation energy (eV per atom): -0.183
Excess energy over the best structure of this formula in the dataset (meV per atom): 3